# Pt2AuCl | Alexandria via LeMat-Bulk | GGA-PBE | optimized geometry
data_Pt2AuCl
_chemical_formula_sum 'Pt2 Au1 Cl1'
_symmetry_space_group_name_H-M 'P 4/m m m'
_symmetry_Int_Tables_number 123
_symmetry_space_group_name_Hall '-P 4 2'
_cell_length_a 2.924
_cell_length_b 2.924
_cell_length_c 7.975
_cell_angle_alpha 90.00
_cell_angle_beta 90.00
_cell_angle_gamma 90.00
loop_
_atom_site_label
_atom_site_fract_x
_atom_site_fract_y
_atom_site_fract_z
Pt1 0.000 0.000 0.247
Au1 0.500 0.500 0.000
Cl1 0.500 0.500 0.500
# Relative energy among the computed polymorphs   270 meV/atom
# V   68.2 Å³ per cell
# ρ   15.16 Mg/m³